Computed, not measured: NdDyPa after structural relaxation at the PBE level of DFT.

Lattice parameters (Å, degrees): 7.477 7.477 7.477 90.00 90.00 90.00
Space group F-43m (No. 216)
One atom of each set of equivalent atoms:
Nd1 0.000 0.000 0.000 (multiplicity 4)
Dy1 0.250 0.250 0.250 (multiplicity 4)
Pa1 0.000 0.000 0.500 (multiplicity 4)

Summary:
**Excess energy over the best structure of this formula in the dataset**: 0 meV/atom
**Magnetic moment**: 2.025 μB/f.u.
**ΔE_f**: 1.09 eV per atom
**VASP energy**: -62.380 eV for the cell shown


Computed, not measured: LiCuP2 after structural relaxation at the PBE level of DFT.

Lattice parameters (Å, degrees): 6.347 8.724 5.453 90.00 122.80 90.00
Space group Cc (No. 9)
One atom of each set of equivalent atoms:
Li1 0.000 0.185 0.000 (multiplicity 4)
Cu1 0.358 0.387 0.899 (multiplicity 4)
P1 0.280 0.111 0.646 (multiplicity 4)
P2 0.438 0.109 0.117 (multiplicity 4)

Summary:
**VASP energy**: -69.455 eV for the cell shown


Computed, not measured: Pr2Sb2SeS after structural relaxation at the PBE level of DFT.

Lattice parameters (Å, degrees): 4.213 4.213 9.108 90.00 90.00 90.00
Space group P4mm (No. 99)
One atom of each set of equivalent atoms:
Pr1 0.000 0.000 0.000 (multiplicity 1)
Pr2 0.500 0.500 0.397 (multiplicity 1)
Sb1 0.000 0.500 0.700 (multiplicity 2)
Se1 0.000 0.000 0.328 (multiplicity 1)
S1 0.500 0.500 0.071 (multiplicity 1)

Summary:
**Magnetic moment**: 0.004 μB/f.u.
**VASP energy**: -33.961 eV for the cell shown